(1)
A relaxed structure of Co2AgPb, computed with PBE.

## Properties
ΔH_f (0 K) in eV per formula unit: 1.87

abc: 3.1994 4.1100 5.3621
angles: 90.00 107.12 90.00
Closest atoms and distances in Å follow each position.
Sites, in units of the cell vectors:
Co  0.0000  0.0000  0.0000  2 Co 2.35
Co  0.1117  0.5000  0.2208  2 Co 2.35
Ag  0.4015  0.5000  0.7992  7 Co 2.68-2.96
Pb  0.7283  0.0000  0.4553  7 Co 2.79-2.87

=====

(2)
A relaxed structure of LiPmAlZn, computed with PBE.

## Properties
ΔH_f (0 K) in eV per formula unit: -1.22

abc: 4.7717 4.7717 4.7717
angles: 60.00 60.00 60.00
Closest atoms and distances in Å follow each position.
Sites, in units of the cell vectors:
Li  0.0000  0.0000  0.0000  4 Pm 2.92, 4 Al 2.92
Pm  0.2500  0.2500  0.2500  4 Li 2.92, 4 Zn 2.92
Al  0.7500  0.7500  0.7500  4 Li 2.92, 4 Zn 2.92
Zn  0.5000  0.5000  0.5000  4 Al 2.92, 4 Pm 2.92

=====

(3)
A relaxed structure of CeGdSiPd, computed with PBE.

abc: 5.0552 5.0552 5.0552
angles: 60.00 60.00 60.00
Closest atoms and distances in Å follow each position.
Sites, in units of the cell vectors:
Ce  0.0000  0.0000  0.0000  4 Si 3.10, 4 Pd 3.10
Gd  0.5000  0.5000  0.5000  4 Si 3.10, 4 Pd 3.10
Si  0.7500  0.7500  0.7500  4 Ce 3.10, 4 Gd 3.10
Pd  0.2500  0.2500  0.2500  4 Gd 3.10, 4 Ce 3.10

=====

(4)
A relaxed structure of Nd2ZnHg, computed with PBE.

## Properties
Polymorph energy (0 for the lowest one) in meV per atom: 0
ΔH_f (0 K) in eV per formula unit: -1.58

abc: 3.7480 3.7480 7.5717
angles: 90.00 90.00 90.00
Closest atoms and distances in Å follow each position.
Sites, in units of the cell vectors:
Nd  0.0000  0.0000  0.2327  4 Zn 3.18, 4 Hg 3.33, 1 Nd 3.52
Nd  0.0000  0.0000  0.7673  4 Zn 3.18, 4 Hg 3.33, 1 Nd 3.52
Zn  0.5000  0.5000  0.0000  8 Nd 3.18
Hg  0.5000  0.5000  0.5000  8 Nd 3.33

=====

no.,D(E_F) (states/eV/f.u.),VASP energy (eV per cell),M_tot (μB/atom)
1,3.54,-18.9,0.782
2,1.28,-12.9,0.000
3,9.15,-33.0,2.033
4,3.93,-12.7,0.000